This record from the Alexandria database describes a geometry-optimized ZnPd2Br2 structure. The functional is PBE.

- energy above the lowest structure with this stoichiometry (meV/atom) = 60
- energy relative to the elements, uncorrected (kcal/mol of atoms) = 0.85
- total magnetization (μB/cell) = 0.0

Cell: 5.348 5.348 5.458 Å, 60.66 60.66 90.00°
Fractional positions:
Zn (0.000, 0.000, 0.000)
Br (0.750, 0.250, 0.500)
Br (0.250, 0.750, 0.500)
Pd (0.309, 0.309, 0.383)
Pd (0.691, 0.691, 0.617)